No. 1
{
  "formula": "AlAs2Br",
  "functional": "PBE-GGA",
  "state": "optimized geometry",
  "de_polymorph_ev_per_atom": 0.502,
  "raw_formation_energy_ev_per_atom": 0.28,
  "cell": [[3.822, 0.000, 0.000], [0.000, 3.822, 0.000], [0.000, 0.000, 6.568]],
  "species": ["Al", "As", "As", "Br"],
  "fractional_positions": [[0.000, 0.000, 0.000], [0.000, 0.500, 0.500], [0.500, 0.000, 0.500], [0.500, 0.500, 0.000]]
}

No. 2
{
  "formula": "PuNpH",
  "functional": "PBE-GGA",
  "state": "optimized geometry",
  "cell": [[1.792, -6.586, 0.000], [1.792, 6.586, 0.000], [0.000, 0.000, 3.494]],
  "species": ["Pu", "Pu", "Np", "Np", "H", "H"],
  "fractional_positions": [[0.062, 0.938, 0.750], [0.938, 0.062, 0.250], [0.245, 0.755, 0.750], [0.755, 0.245, 0.250], [0.428, 0.572, 0.750], [0.572, 0.428, 0.250]]
}

No. 3
{
  "formula": "NbAlBi3",
  "functional": "PBE-GGA",
  "state": "optimized geometry",
  "de_polymorph_ev_per_atom": 0.000,
  "ef_ev_per_fu": 2.97,
  "cell": [[5.524, 0.000, 0.000], [0.000, 5.524, 0.000], [0.000, 0.000, 5.524]],
  "species": ["Nb", "Al", "Bi", "Bi", "Bi"],
  "fractional_positions": [[0.000, 0.000, 0.000], [0.500, 0.500, 0.500], [0.000, 0.000, 0.500], [0.000, 0.500, 0.000], [0.500, 0.000, 0.000]]
}

No. 4
{
  "formula": "NaAg2As",
  "functional": "PBE-GGA",
  "state": "optimized geometry",
  "de_polymorph_ev_per_atom": 0.051,
  "ef_ev_per_fu": -0.21,
  "cell": [[0.000, 3.370, 3.370], [3.370, 0.000, 3.370], [3.370, 3.370, 0.000]],
  "species": ["Na", "Ag", "Ag", "As"],
  "fractional_positions": [[0.000, 0.000, 0.000], [0.250, 0.250, 0.250], [0.750, 0.750, 0.750], [0.500, 0.500, 0.500]]
}

No. 5
{
  "formula": "NpMnTlTe3",
  "functional": "PBE-GGA",
  "state": "optimized geometry",
  "raw_formation_energy_ev_per_atom": -0.40,
  "cell": [[9.627, 0.000, 0.000], [0.000, 4.441, 0.000], [-2.944, 0.000, 9.707]],
  "species": ["Np", "Np", "Mn", "Mn", "Tl", "Tl", "Te", "Te", "Te", "Te", "Te", "Te"],
  "fractional_positions": [[0.173, 0.250, 0.151], [0.827, 0.750, 0.849], [0.418, 0.750, 0.409], [0.582, 0.250, 0.591], [0.299, 0.750, 0.777], [0.701, 0.250, 0.223], [0.046, 0.250, 0.833], [0.287, 0.250, 0.473], [0.395, 0.750, 0.136], [0.605, 0.250, 0.864], [0.713, 0.750, 0.527], [0.954, 0.750, 0.167]]
}

No. 6
{
  "formula": "Al2AgBr",
  "functional": "PBE-GGA",
  "state": "optimized geometry",
  "de_polymorph_ev_per_atom": 0.040,
  "raw_formation_energy_ev_per_atom": 0.04,
  "cell": [[3.227, 0.000, 0.000], [0.000, 3.227, 0.000], [0.000, 0.000, 7.841]],
  "species": ["Al", "Al", "Ag", "Br"],
  "fractional_positions": [[0.000, 0.000, 0.000], [0.500, 0.500, 0.224], [0.500, 0.500, 0.796], [0.000, 0.000, 0.458]]
}

No. 7
{
  "formula": "CdPd3",
  "functional": "PBE-GGA",
  "state": "optimized geometry",
  "ef_ev_per_fu": -0.90,
  "cell": [[2.917, 0.000, 0.000], [0.000, 4.654, 0.000], [0.000, 0.000, 4.827]],
  "species": ["Cd", "Pd", "Pd", "Pd"],
  "fractional_positions": [[0.000, 0.000, 0.000], [0.000, 0.500, 0.640], [0.500, 0.000, 0.503], [0.500, 0.500, 0.149]]
}

No. 8
{
  "formula": "BaFeTe2",
  "functional": "PBE-GGA",
  "state": "optimized geometry",
  "raw_formation_energy_ev_per_atom": -0.20,
  "cell": [[0.000, 3.919, 3.919], [3.919, 0.000, 3.919], [3.919, 3.919, 0.000]],
  "species": ["Ba", "Fe", "Te", "Te"],
  "fractional_positions": [[0.000, 0.000, 0.000], [0.500, 0.500, 0.500], [0.250, 0.250, 0.250], [0.750, 0.750, 0.750]]
}

No. 9
{
  "formula": "HfAsPt2",
  "functional": "PBE-GGA",
  "state": "optimized geometry",
  "ef_ev_per_fu": -1.45,
  "cell": [[-2.761, 2.761, 6.280], [2.761, -2.761, 6.280], [2.761, 2.761, -6.280]],
  "species": ["Hf", "Hf", "As", "As", "Pt", "Pt", "Pt", "Pt"],
  "fractional_positions": [[0.000, 0.000, 0.000], [0.750, 0.250, 0.500], [0.250, 0.750, 0.500], [0.500, 0.500, 0.000], [0.159, 0.625, 0.034], [0.375, 0.409, 0.534], [0.591, 0.125, 0.966], [0.875, 0.841, 0.466]]
}

No. 10
{
  "formula": "Sr4Pa3AlP8",
  "functional": "PBE-GGA",
  "state": "optimized geometry",
  "ef_ev_per_fu": -16.71,
  "cell": [[4.098, 2.366, 6.858], [-4.098, 2.366, 6.858], [0.000, -4.732, 6.858]],
  "species": ["Sr", "Sr", "Sr", "Sr", "Pa", "Pa", "Pa", "Al", "P", "P", "P", "P", "P", "P", "P", "P"],
  "fractional_positions": [[0.000, 0.000, 0.000], [0.000, 0.500, 0.500], [0.500, 0.000, 0.500], [0.500, 0.500, 0.000], [0.000, 0.000, 0.500], [0.000, 0.500, 0.000], [0.500, 0.000, 0.000], [0.500, 0.500, 0.500], [0.239, 0.239, 0.239], [0.241, 0.733, 0.733], [0.267, 0.267, 0.759], [0.267, 0.759, 0.267], [0.733, 0.241, 0.733], [0.733, 0.733, 0.241], [0.759, 0.267, 0.267], [0.761, 0.761, 0.761]]
}

No. 11
{
  "formula": "Ga2CuAg2",
  "functional": "PBE-GGA",
  "state": "optimized geometry",
  "de_polymorph_ev_per_atom": 0.000,
  "ef_ev_per_fu": 0.48,
  "cell": [[6.433, 0.000, 0.000], [0.000, 6.433, 0.000], [0.000, 0.000, 4.171]],
  "species": ["Ga", "Ga", "Ga", "Ga", "Cu", "Cu", "Ag", "Ag", "Ag", "Ag"],
  "fractional_positions": [[0.145, 0.355, 0.000], [0.355, 0.855, 0.000], [0.645, 0.145, 0.000], [0.855, 0.645, 0.000], [0.000, 0.000, 0.000], [0.500, 0.500, 0.000], [0.163, 0.663, 0.500], [0.337, 0.163, 0.500], [0.663, 0.837, 0.500], [0.837, 0.337, 0.500]]
}

No. 12
{
  "formula": "LiPmZnAs",
  "functional": "PBE-GGA",
  "state": "optimized geometry",
  "ef_ev_per_fu": -2.10,
  "cell": [[0.000, 3.476, 3.476], [3.476, 0.000, 3.476], [3.476, 3.476, 0.000]],
  "species": ["Li", "Pm", "Zn", "As"],
  "fractional_positions": [[0.000, 0.000, 0.000], [0.500, 0.500, 0.500], [0.250, 0.250, 0.250], [0.750, 0.750, 0.750]]
}

Number 1: E_tot -3.400 eV/atom. Number 2: E_tot -10.107 eV/atom. Number 3: E_tot -4.497 eV/atom. Number 4: E_tot -2.969 eV/atom. Number 5: E_tot -6.052 eV/atom. Number 6: E_tot -2.963 eV/atom. Number 7: E_tot -4.348 eV/atom. Number 8: E_tot -4.372 eV/atom. Number 9: E_tot -7.034 eV/atom. Number 10: E_tot -6.184 eV/atom. Number 11: E_tot -3.074 eV/atom. Number 12: E_tot -3.672 eV/atom.